1.
An optimized crystal structure of MgIn2Cu, computed with GGA-PBE.

abc: 5.3259 5.3259 5.3259
angles: 131.89 131.89 70.41
Last column: nearest neighbours and their distance in Å.
Element x y z (fractional)
1 Mg 0.0000 0.0000 0.0000  4 Cu 3.07, 8 In 3.07
2 In 0.2500 0.7500 0.5000  4 In 3.07, 4 Mg 3.07, 4 Cu 3.07
3 In 0.7500 0.2500 0.5000  4 In 3.07, 4 Mg 3.07, 4 Cu 3.07
4 Cu 0.5000 0.5000 0.0000  4 Mg 3.07, 8 In 3.07

## Properties
Volume in A^3/atom: 20.51
Energy of formation from the pure elements in eV/atom: 0.053

---

2.
An optimized crystal structure of Tc2HgAs, computed with GGA-PBE.

abc: 8.6555 8.6555 8.6555
angles: 19.90 19.90 19.90
Last column: nearest neighbours and their distance in Å.
Element x y z (fractional)
1 Tc 0.2400 0.2400 0.2400  3 As 2.54
2 Tc 0.7600 0.7600 0.7600  3 As 2.54
3 Hg 0.0000 0.0000 0.0000  6 Tc 2.94, 6 Hg 2.99
4 As 0.5000 0.5000 0.5000  6 Tc 2.54

## Properties
E above lowest polymorph in kcal/mol of atoms: 4.18
Volume in A^3/atom: 16.43
Energy of formation from the pure elements in eV/atom: 0.313

---

3.
An optimized crystal structure of Sm3ZnAg, computed with GGA-PBE.

abc: 10.2238 10.2238 5.2102
angles: 90.00 90.00 150.48
Last column: nearest neighbours and their distance in Å.
Element x y z (fractional)
1 Sm 0.0642 0.9358 0.7500  2 Zn 3.17, 2 Ag 3.22
2 Sm 0.2491 0.7509 0.7500  4 Ag 3.15-3.17, 4 Zn 3.20-3.22
3 Sm 0.4333 0.5667 0.7500  2 Zn 3.14, 2 Ag 3.19
4 Sm 0.5667 0.4333 0.2500  2 Zn 3.14, 2 Ag 3.19
5 Sm 0.7509 0.2491 0.2500  4 Ag 3.15-3.17, 4 Zn 3.20-3.22
6 Sm 0.9358 0.0642 0.2500  2 Zn 3.17, 2 Ag 3.22
7 Zn 0.1553 0.8447 0.2500  8 Sm 3.14-3.22
8 Zn 0.8447 0.1553 0.7500  8 Sm 3.14-3.22
9 Ag 0.3404 0.6596 0.2500  8 Sm 3.15-3.22
10 Ag 0.6596 0.3404 0.7500  8 Sm 3.15-3.22

## Properties
E above lowest polymorph in kcal/mol of atoms: 0.00
Volume in A^3/atom: 26.83
Energy of formation from the pure elements in eV/atom: -0.223

---

4.
An optimized crystal structure of Mg4ZrHg, computed with GGA-PBE.

abc: 5.7663 5.7663 5.7663
angles: 60.00 60.00 60.00
Last column: nearest neighbours and their distance in Å.
Element x y z (fractional)
1 Mg 0.1243 0.1243 0.1243  6 Mg 2.87-2.90
2 Mg 0.1243 0.1243 0.6272  6 Mg 2.87-2.90
3 Mg 0.1243 0.6272 0.1243  6 Mg 2.87-2.90
4 Mg 0.6272 0.1243 0.1243  6 Mg 2.87-2.90
5 Zr 0.7500 0.7500 0.7500  12 Mg 3.38, 4 Hg 3.53
6 Hg 0.5000 0.5000 0.5000  12 Mg 3.38, 4 Zr 3.53

## Properties
Volume in A^3/atom: 22.60
Energy of formation from the pure elements in eV/atom: 0.206

---

Looking at total energy for the records above, in order, we have -2.739; -6.108; -3.879; -2.332 eV/atom.